! Mg3H2Ir2 (PBE-GGA, optimized geometry); values from VASP
! SG ... Cm (8)
! Offset from the most stable computed form ... 0 meV/atom
&SYSTEM
  ibrav = 0, nat = 7, ntyp = 3
/
ATOMIC_SPECIES
Mg 24.30 Mg.upf
H 1.01 H.upf
Ir 192.22 Ir.upf
CELL_PARAMETERS angstrom
0.3510 2.1663 3.8093
-4.7908 -2.0144 -0.9803
2.8453 -2.4713 3.7123
ATOMIC_POSITIONS crystal
Mg 0.6744 0.0507 0.4961
Mg 0.8676 0.7434 0.8025
Mg 0.4819 0.3587 0.1875
H 0.3097 0.6894 0.8578
H 0.0402 0.4139 0.1333
Ir 0.1752 0.8042 0.2481
Ir 0.1751 0.2989 0.7428

! SmErCuRh (PBE-GGA, optimized geometry); values from VASP
! SG ... F-43m (216)
! Calculated formation energy ... -0.53 eV per atom
! Offset from the most stable computed form ... 28 meV/atom
&SYSTEM
  ibrav = 0, nat = 4, ntyp = 4
/
ATOMIC_SPECIES
Rh 102.91 Rh.upf
Cu 63.55 Cu.upf
Sm 150.36 Sm.upf
Er 167.26 Er.upf
CELL_PARAMETERS angstrom
4.9128 0.0000 0.0000
2.4564 4.2546 0.0000
2.4564 1.4182 4.0113
ATOMIC_POSITIONS crystal
Rh 0.7500 0.7500 0.7500
Cu 0.2500 0.2500 0.2500
Sm 0.5000 0.5000 0.5000
Er 0.0000 0.0000 0.0000

! Li3PrEr2Te6 (PBE-GGA, optimized geometry); values from VASP
! SG ... C2/m (12)
! E_form (uncorrected) ... -1283 meV/atom
&SYSTEM
  ibrav = 0, nat = 12, ntyp = 4
/
ATOMIC_SPECIES
Li 6.94 Li.upf
Pr 140.91 Pr.upf
Er 167.26 Er.upf
Te 127.60 Te.upf
CELL_PARAMETERS angstrom
7.5798 -0.0014 -0.0007
-3.7893 6.5646 -0.0007
-1.2649 -2.1901 7.0669
ATOMIC_POSITIONS crystal
Li 0.1649 0.8351 0.5000
Li 0.8351 0.1649 0.5000
Li 0.5000 0.5000 0.5000
Pr 0.0000 0.0000 0.0000
Er 0.3331 0.6669 0.0000
Er 0.6669 0.3331 0.0000
Te 0.9144 0.5699 0.7437
Te 0.7413 0.7413 0.2575
Te 0.0856 0.4301 0.2563
Te 0.5699 0.9144 0.7437
Te 0.2587 0.2587 0.7425
Te 0.4301 0.0856 0.2563

What did the third record say?
! Li3PrEr2Te6 (PBE-GGA, optimized geometry); values from VASP
! SG ... C2/m (12)
! E_form (uncorrected) ... -1283 meV/atom
&SYSTEM
  ibrav = 0, nat = 12, ntyp = 4
/
ATOMIC_SPECIES
Li 6.94 Li.upf
Pr 140.91 Pr.upf
Er 167.26 Er.upf
Te 127.60 Te.upf
CELL_PARAMETERS angstrom
7.5798 -0.0014 -0.0007
-3.7893 6.5646 -0.0007
-1.2649 -2.1901 7.0669
ATOMIC_POSITIONS crystal
Li 0.1649 0.8351 0.5000
Li 0.8351 0.1649 0.5000
Li 0.5000 0.5000 0.5000
Pr 0.0000 0.0000 0.0000
Er 0.3331 0.6669 0.0000
Er 0.6669 0.3331 0.0000
Te 0.9144 0.5699 0.7437
Te 0.7413 0.7413 0.2575
Te 0.0856 0.4301 0.2563
Te 0.5699 0.9144 0.7437
Te 0.2587 0.2587 0.7425
Te 0.4301 0.0856 0.2563